First-principles (GGA-PBEsol) data for a relaxed structure of YMgP2, as listed in the Alexandria database.

a b c (Å): 3.8931 3.8931 5.5211
angles (deg): 90.00 90.00 90.00
Space group P4/mmm (No. 123)
Symmetry-distinct sites (fractional):
1 Y 0.0000 0.0000 0.0000 [1 per cell]
2 Mg 0.5000 0.5000 0.5000 [1 per cell]
3 P 0.0000 0.0000 0.5000 [1 per cell]
4 P 0.5000 0.5000 0.0000 [1 per cell]

Results
- theoretical density (g/cm3) = 3.48
- energy (eV per cell) = -23.5
- ΔH_f (0 K) (eV per atom) = -0.86
- size of the total moment (μB/cell) = 0.001
- N(E_F) (states/eV per cell) = 3.10

---

First-principles (GGA-PBEsol) data for a relaxed structure of Li2PCl, as listed in the Alexandria database.

a b c (Å): 4.6668 4.6668 2.8665
angles (deg): 90.00 90.00 90.00
Space group P4/mmm (No. 123)
Symmetry-distinct sites (fractional):
1 Li 0.0000 0.5000 0.0000 [2 per cell]
2 P 0.0000 0.0000 0.5000 [1 per cell]
3 Cl 0.5000 0.5000 0.5000 [1 per cell]

Results
- relative energy among the computed polymorphs (meV/atom) = 241.2
- theoretical density (g/cm3) = 2.14
- energy (eV per cell) = -14.2
- size of the total moment (μB/cell) = 0.001
- formation energy from raw total energies (eV per atom) = -0.6250
- N(E_F) (states/eV per cell) = 1.97